Record 1
Here is AcSiSb after structural relaxation from Alexandria via LeMat-Bulk. Energies are from PBE-GGA.

Properties
Mass density ... 6.6 g/cm³
Energy relative to the elements, uncorrected ... -0.218 eV/atom

Unit cell a=7.2221 b=7.2221 c=7.2221 alpha=90.00 beta=90.00 gamma=90.00
Closest atoms and distances in Å follow each position.
Space group F-43m (No. 216)
Inequivalent atoms, fractional coordinates:
Ac 0.0000 0.0000 0.0000  4 Si 3.13
Si 0.2500 0.2500 0.2500  4 Ac 3.13, 4 Sb 3.13
Sb 0.0000 0.0000 0.5000  4 Si 3.13

=====

Record 2
Here is Ac3SiSb after structural relaxation from Alexandria via LeMat-Bulk. Energies are from PBE-GGA.

Properties
Mass density ... 6.8 g/cm³
Energy relative to the elements, uncorrected ... -0.298 eV/atom

Unit cell a=5.8821 b=5.8821 c=5.8821 alpha=90.00 beta=90.00 gamma=90.00
Closest atoms and distances in Å follow each position.
Space group Pm-3m (No. 221)
Inequivalent atoms, fractional coordinates:
Ac 0.0000 0.0000 0.5000  2 Si 2.94
Si 0.0000 0.0000 0.0000  6 Ac 2.94
Sb 0.5000 0.5000 0.5000  12 Ac 4.16

=====

Record 3
Here is Ac2SiSb after structural relaxation from Alexandria via LeMat-Bulk. Energies are from PBE-GGA.

Properties
Mass density ... 8.0 g/cm³
Energy relative to the elements, uncorrected ... -0.596 eV/atom

Unit cell a=3.8371 b=3.8371 c=8.5049 alpha=90.00 beta=90.00 gamma=90.00
Closest atoms and distances in Å follow each position.
Space group P4/mmm (No. 123)
Inequivalent atoms, fractional coordinates:
Ac 0.0000 0.0000 0.2295  4 Si 3.34, 4 Sb 3.56
Si 0.5000 0.5000 0.0000  8 Ac 3.34
Sb 0.5000 0.5000 0.5000  8 Ac 3.56, 4 Sb 3.84

=====

Record 4
Here is Ac3SiSb after structural relaxation from Alexandria via LeMat-Bulk. Energies are from PBE-GGA.

Properties
Mass density ... 6.5 g/cm³
Energy relative to the elements, uncorrected ... -0.344 eV/atom

Unit cell a=13.9243 b=7.6912 c=9.2560 alpha=90.00 beta=121.03 gamma=90.00
Closest atoms and distances in Å follow each position.
Space group Cm (No. 8)
Inequivalent atoms, fractional coordinates:
Ac 0.0000 0.0000 0.0000  2 Si 2.91-3.10
Ac 0.0556 0.2737 0.4380  2 Si 2.93-3.15
Ac 0.2249 0.2572 0.9808  2 Si 2.98-3.14
Ac 0.3214 0.5000 0.4612  2 Si 3.04-3.12
Si 0.2474 0.5000 0.7268  6 Ac 3.10-3.15
Si 0.4050 0.5000 0.2160  6 Ac 2.91-3.04
Sb 0.0541 0.5000 0.1000  5 Ac 3.49-3.61
Sb 0.3096 0.0000 0.3510  7 Ac 3.55-3.96

=====

Record 5
Here is Ac2SiSb after structural relaxation from Alexandria via LeMat-Bulk. Energies are from PBE-GGA.

Properties
Mass density ... 6.9 g/cm³
Energy relative to the elements, uncorrected ... -0.731 eV/atom

Unit cell a=4.6390 b=4.6390 c=23.3844 alpha=90.00 beta=90.00 gamma=120.00
Closest atoms and distances in Å follow each position.
Space group R-3m (No. 166, hexagonal axes)
Inequivalent atoms, fractional coordinates:
Ac 0.0000 0.0000 0.2454  3 Si 3.25, 3 Sb 3.38
Si 0.0000 0.0000 0.5000  6 Ac 3.25
Sb 0.0000 0.0000 0.0000  6 Ac 3.38

=====

Record 6
Here is Ac2SiSb after structural relaxation from Alexandria via LeMat-Bulk. Energies are from PBE-GGA.

Properties
Mass density ... 7.9 g/cm³
Energy relative to the elements, uncorrected ... -0.556 eV/atom

Unit cell a=7.9845 b=7.9845 c=7.9845 alpha=90.00 beta=90.00 gamma=90.00
Closest atoms and distances in Å follow each position.
Space group Fm-3m (No. 225)
Inequivalent atoms, fractional coordinates:
Ac 0.2500 0.2500 0.2500  4 Sb 3.46, 4 Si 3.46
Si 0.0000 0.0000 0.0000  8 Ac 3.46
Sb 0.0000 0.0000 0.5000  8 Ac 3.46

=====

Record 7
Here is Ac4SiSb2 after structural relaxation from Alexandria via LeMat-Bulk. Energies are from PBE-GGA.

Properties
Mass density ... 6.9 g/cm³
Energy relative to the elements, uncorrected ... -0.532 eV/atom

Unit cell a=5.7442 b=5.7442 c=17.3102 alpha=90.00 beta=90.00 gamma=90.00
Closest atoms and distances in Å follow each position.
Space group I4/mmm (No. 139)
Inequivalent atoms, fractional coordinates:
Ac 0.0000 0.0000 0.1752  1 Si 3.03, 1 Sb 3.35
Ac 0.0000 0.5000 0.0000  2 Si 2.87
Si 0.0000 0.0000 0.0000  6 Ac 2.87-3.03
Sb 0.0000 0.0000 0.3685  5 Ac 3.35-3.67

=====

Record 8
Here is Ac6Si2SbTe3 after structural relaxation from Alexandria via LeMat-Bulk. Energies are from PBE-GGA.

Properties
Mass density ... 7.2 g/cm³
Energy relative to the elements, uncorrected ... -1.215 eV/atom

Unit cell a=20.6127 b=4.6885 c=9.5067 alpha=90.00 beta=103.85 gamma=90.00
Closest atoms and distances in Å follow each position.
Space group C2/m (No. 12)
Inequivalent atoms, fractional coordinates:
Ac 0.0094 0.0000 0.2502  1 Si 3.16, 2 Sb 3.31, 3 Te 3.38-3.46
Ac 0.1671 0.5000 0.1063  2 Si 3.19, 1 Sb 3.35, 3 Te 3.40-3.48
Ac 0.1734 0.5000 0.5681  3 Si 3.19-3.21, 3 Te 3.48-3.49
Si 0.1672 0.0000 0.3339  6 Ac 3.16-3.21
Sb 0.0000 0.5000 0.0000  6 Ac 3.31-3.35
Te 0.0000 0.5000 0.5000  6 Ac 3.38-3.48
Te 0.1635 0.0000 0.8337  6 Ac 3.40-3.49

=====

Record 9
Here is Ac4SiSb2Te after structural relaxation from Alexandria via LeMat-Bulk. Energies are from PBE-GGA.

Properties
Mass density ... 7.2 g/cm³
Energy relative to the elements, uncorrected ... -1.133 eV/atom

Unit cell a=8.1944 b=4.7299 c=8.2301 alpha=90.00 beta=109.29 gamma=90.00
Closest atoms and distances in Å follow each position.
Space group P2/m (No. 10)
Inequivalent atoms, fractional coordinates:
Ac 0.2402 0.0000 0.2359  2 Si 3.27, 3 Sb 3.32-3.43, 1 Te 3.38
Ac 0.2479 0.5000 0.7640  1 Si 3.24, 3 Sb 3.31-3.46, 2 Te 3.39
Si 0.0000 0.5000 0.0000  6 Ac 3.24-3.27
Sb 0.5000 0.0000 0.0000  6 Ac 3.31-3.32
Sb 0.5000 0.5000 0.5000  6 Ac 3.43-3.46
Te 0.0000 0.0000 0.5000  6 Ac 3.38-3.39

=====

Record 10
Here is Ac4SiSbTe2 after structural relaxation from Alexandria via LeMat-Bulk. Energies are from PBE-GGA.

Properties
Mass density ... 7.3 g/cm³
Energy relative to the elements, uncorrected ... -1.266 eV/atom

Unit cell a=8.1997 b=4.7087 c=8.2270 alpha=90.00 beta=109.20 gamma=90.00
Closest atoms and distances in Å follow each position.
Space group P2/m (No. 10)
Inequivalent atoms, fractional coordinates:
Ac 0.2319 0.0000 0.2270  2 Si 3.21, 1 Sb 3.32, 3 Te 3.39-3.49
Ac 0.2438 0.5000 0.7673  1 Si 3.19, 2 Sb 3.31, 3 Te 3.39-3.50
Si 0.0000 0.5000 0.0000  6 Ac 3.19-3.21
Sb 0.5000 0.0000 0.0000  6 Ac 3.31-3.32
Te 0.0000 0.0000 0.5000  6 Ac 3.39
Te 0.5000 0.5000 0.5000  6 Ac 3.49-3.50

=====

Record 11
Here is Ac6SiSb2Te3 after structural relaxation from Alexandria via LeMat-Bulk. Energies are from PBE-GGA.

Properties
Mass density ... 7.4 g/cm³
Energy relative to the elements, uncorrected ... -1.315 eV/atom

Unit cell a=20.7170 b=4.7271 c=9.5297 alpha=90.00 beta=103.43 gamma=90.00
Closest atoms and distances in Å follow each position.
Space group C2/m (No. 12)
Inequivalent atoms, fractional coordinates:
Ac 0.0007 0.0000 0.2269  2 Si 3.20, 1 Sb 3.36, 3 Te 3.44-3.52
Ac 0.1564 0.5000 0.0827  1 Si 3.15, 2 Sb 3.34, 3 Te 3.40-3.50
Ac 0.1675 0.5000 0.5782  3 Sb 3.32-3.34, 3 Te 3.38-3.39
Si 0.0000 0.5000 0.0000  6 Ac 3.15-3.20
Sb 0.1669 0.0000 0.3339  6 Ac 3.32-3.36
Te 0.0000 0.5000 0.5000  6 Ac 3.38-3.52
Te 0.1697 0.0000 0.8341  6 Ac 3.39-3.50

=====

Record 12
Here is AcSm2Sb after structural relaxation from Alexandria via LeMat-Bulk. Energies are from PBE-GGA.

Properties
Mass density ... 7.2 g/cm³
Energy relative to the elements, uncorrected ... -0.415 eV/atom

Unit cell a=4.1629 b=4.1629 c=29.7759 alpha=90.00 beta=90.00 gamma=120.00
Closest atoms and distances in Å follow each position.
Space group R3m (No. 160, hexagonal axes)
Inequivalent atoms, fractional coordinates:
Ac 0.0000 0.0000 0.0000  6 Sm 3.87-3.90, 6 Ac 4.16
Sm 0.0000 0.0000 0.2315  3 Sb 3.07
Sm 0.0000 0.0000 0.4364  3 Sb 3.08
Sb 0.0000 0.0000 0.8342  6 Sm 3.07-3.08

=====

Q: Which formula does entry 3 have?
A: Ac2SiSb